A relaxed structure of Tb4TmAl. Source: Alexandria via LeMat-Bulk, functional PBE.

a = 8.7094 Å, b = 13.8135 Å, c = 6.2327 Å
α = 90.00°, β = 108.74°, γ = 90.00°
Closest atoms and distances in Å follow each position.
Space group C2/c (No. 15)
One atom of each set of equivalent atoms:
Tb 0.0990 0.1852 0.0440 x8  2 Al 3.10-3.11, 3 Tb 3.27-3.39
Tb 0.2191 0.3833 0.3776 x8  2 Al 3.21-3.24, 3 Tb 3.27-3.57, 2 Tm 3.40-3.46
Tm 0.0000 0.4090 0.7500 x4  10 Tb 3.40-3.78
Al 0.0000 0.0005 0.2500 x4  8 Tb 3.10-3.24, 2 Al 3.12

- DOS at the Fermi energy: 31.1 states/eV per cell
- Theoretical density: 7.78 Mg/m³
- E_tot: -4.490 eV/atom
- ΔH_f (0 K): -34 meV per atom
- Relative energy among the computed polymorphs: 82.0 meV/atom
- Magnetic moment: 0.0 μB/cell